{"formula": "TaOsPb2", "functional": "PBE", "state": "relaxed", "cell": [[-2.937, 0.554, 1.442], [0.176, -2.958, 1.494], [3.388, 3.087, 5.712]], "species": ["Os", "Pb", "Pb", "Ta"], "frac_coords": [[0.500, 0.500, 0.750], [0.000, 0.000, 0.518], [0.000, 0.000, 0.982], [0.500, 0.500, 0.250]], "de_polymorph_ev_per_atom": 0.7500, "space_group": "P4/mmm (123)", "crystal_system": "tetragonal"}

{"formula": "TaOsPb2", "functional": "PBE", "state": "relaxed", "cell": [[-0.603, 0.246, -4.552], [-1.662, -2.720, 0.073], [-5.042, 2.493, 0.803]], "species": ["Pb", "Pb", "Os", "Ta"], "frac_coords": [[0.000, 0.956, 0.994], [0.000, 0.544, 0.506], [0.500, 0.750, 0.750], [0.500, 0.250, 0.250]], "de_polymorph_ev_per_atom": 0.7476, "space_group": "P2/m (10)", "crystal_system": "monoclinic"}

{"formula": "TaOsPb2", "functional": "PBE", "state": "relaxed", "cell": [[9.407, -0.024, -0.014], [8.870, 3.133, -0.014], [8.870, 1.509, 2.746]], "species": ["Pb", "Pb", "Os", "Ta"], "frac_coords": [[0.005, 0.005, 0.005], [0.495, 0.495, 0.495], [0.750, 0.750, 0.750], [0.250, 0.250, 0.250]], "de_polymorph_ev_per_atom": 0.7575, "space_group": "R-3m (166)", "crystal_system": "trigonal"}

{"formula": "TaOsPb2", "functional": "PBE", "state": "relaxed", "cell": [[3.280, 0.000, 0.000], [0.000, 3.218, -0.170], [0.000, 2.133, 8.725]], "species": ["Ta", "Pb", "Pb", "Os"], "frac_coords": [[0.000, 0.412, 0.554], [0.000, 0.212, 0.941], [0.500, 0.042, 0.301], [0.500, 0.834, 0.704]], "de_polymorph_ev_per_atom": 0.0000, "space_group": "Pm (6)", "crystal_system": "monoclinic"}

{"formula": "TaOs2Pb", "functional": "PBE", "state": "relaxed", "cell": [[5.211, 0.015, 0.000], [2.201, 4.724, 0.000], [-3.706, -2.369, 2.794]], "species": ["Ta", "Pb", "Os", "Os"], "frac_coords": [[0.750, 0.250, 0.500], [0.500, 0.500, 0.000], [0.000, 0.000, 0.000], [0.250, 0.750, 0.500]], "space_group": "I-4m2 (119)", "crystal_system": "tetragonal"}

{"formula": "TaOsPb2", "functional": "PBE", "state": "relaxed", "cell": [[-2.206, -0.012, -2.653], [3.783, -1.354, -3.139], [-0.957, -4.568, 0.817]], "species": ["Ta", "Pb", "Pb", "Os"], "frac_coords": [[0.500, 0.000, 0.500], [0.500, 0.500, 0.000], [0.000, 0.000, 0.000], [0.000, 0.500, 0.500]], "de_polymorph_ev_per_atom": 0.7971, "space_group": "Pmmm (47)", "crystal_system": "orthorhombic"}

{"formula": "TaOs2Pb", "functional": "PBE", "state": "relaxed", "cell": [[-0.536, -0.980, 4.316], [-0.393, -2.831, -0.692], [5.373, -1.244, 0.385]], "species": ["Pb", "Os", "Os", "Ta"], "frac_coords": [[0.500, 0.250, 0.250], [0.000, 0.014, 0.964], [0.000, 0.486, 0.536], [0.500, 0.750, 0.750]], "space_group": "P2/m (10)", "crystal_system": "monoclinic"}

{"formula": "TaOs2Pb", "functional": "PBE", "state": "relaxed", "cell": [[-0.686, 4.717, 0.720], [-2.321, 3.859, -1.721], [-4.368, -0.042, 2.940]], "species": ["Os", "Os", "Pb", "Ta"], "frac_coords": [[0.486, 0.486, 0.545], [0.014, 0.014, 0.955], [0.250, 0.250, 0.250], [0.750, 0.750, 0.750]], "space_group": "C2/m (12)", "crystal_system": "monoclinic"}

Summary of electronic total energy in eV/cell
-26.7 -26.8 -26.7 -29.7 -35.7 -26.6 -35.4 -36.0
(order as listed above)
Summary of calculated volume in Å³ per cell
80.6 82.9 81.9 93.3 68.7 83.4 72.3 72.1
(order as listed above)
Summary of ΔH_f (0 K) in meV per atom
938 935 945 188 571 985 655 502
(order as listed above)